Material: Mg2SbCl
Method: DFT, PBE
State: optimized geometry

a b c (Å): 3.223 3.223 9.919
angles (deg): 90.00 90.00 90.00
Space group P4mm (No. 99)
One atom of each set of equivalent atoms:
Mg (0.000, 0.000, 0.000) [1 per cell]
Mg (0.500, 0.500, 0.245) [1 per cell]
Sb (0.000, 0.000, 0.465) [1 per cell]
Cl (0.500, 0.500, 0.862) [1 per cell]

Summary:
The value obtained for the energy above the most stable polymorph in this dataset is 0.225 eV/atom. As for the formation energy without anion corrections: -0.517 eV per atom. The value obtained for the theoretical density is 3.3 g cm⁻³. The final energy comes out at -0.2062 Ry/atom.